(1)
A relaxed Mg2CuSe2 crystal, computed with GGA-PBE.

Values from the calculation:
Energy relative to the elements, uncorrected: -0.61 eV/atom
ΔE to the lowest computed polymorph: 2.013 kcal/mol of atoms
Space-group type: No. 72

Cell: 7.0460 7.0460 7.0460 Å, 121.91 76.29 135.11°
Fractional positions:
Mg (0.1313, 0.1940, 0.3253)
Mg (0.3687, 0.6940, 0.0626)
Mg (0.6313, 0.3060, 0.9374)
Mg (0.8687, 0.8060, 0.6747)
Cu (0.2500, 0.7500, 0.5000)
Cu (0.7500, 0.2500, 0.5000)
Se (0.1317, 0.7973, 0.9291)
Se (0.3683, 0.2973, 0.6656)
Se (0.6317, 0.7027, 0.3344)
Se (0.8683, 0.2027, 0.0709)


(2)
A relaxed TmSc3Tl crystal, computed with GGA-PBE.

Values from the calculation:
ΔE to the lowest computed polymorph: 6.747 kcal/mol of atoms
Energy of formation from the pure elements: 0.264 eV/atom
Space-group type: No. 160

Cell: 5.3131 5.3131 5.3131 Å, 94.97 94.97 94.97°
Fractional positions:
Tm (0.0000, 0.0000, 0.0000)
Sc (0.0826, 0.4751, 0.4751)
Sc (0.4751, 0.0826, 0.4751)
Sc (0.4751, 0.4751, 0.0826)
Tl (0.6291, 0.6291, 0.6291)


(3)
A relaxed Sr2PmH12Rh3 crystal, computed with GGA-PBE.

Values from the calculation:
VASP energy: -78.05 eV for the cell shown
Space-group type: No. 166

Cell: 6.2150 6.2150 6.2150 Å, 66.31 66.31 66.31°
Fractional positions:
Sr (0.1158, 0.1158, 0.1158)
Sr (0.8842, 0.8842, 0.8842)
Pm (0.5000, 0.5000, 0.5000)
H (0.0814, 0.6326, 0.6326)
H (0.2180, 0.2180, 0.6022)
H (0.2180, 0.6022, 0.2180)
H (0.3674, 0.3674, 0.9186)
H (0.3674, 0.9186, 0.3674)
H (0.3978, 0.7820, 0.7820)
H (0.6022, 0.2180, 0.2180)
H (0.6326, 0.0815, 0.6326)
H (0.6326, 0.6326, 0.0815)
H (0.7820, 0.3978, 0.7820)
H (0.7820, 0.7820, 0.3978)
H (0.9186, 0.3674, 0.3674)
Rh (0.0000, 0.5000, 0.5000)
Rh (0.5000, 0.0000, 0.5000)
Rh (0.5000, 0.5000, 0.0000)